# 1
Li2CaP2 | PBE-GGA | relaxed

Its energy relative to the elements is -0.5911 eV/atom. The value obtained for the calculated volume is 81.9 Å³/f.u. As for the raw total energy: -3.921 eV per atom. For the density of states at the Fermi level, the calculation gives 3.0 states/eV/cell.

Unit cell a=7.456 b=7.456 c=2.947 alpha=90.00 beta=90.00 gamma=90.00
Fractional coordinates of all 10 atoms:
Li (0.114, 0.386, 0.000)
Li (0.386, 0.886, 0.000)
Li (0.614, 0.114, 0.000)
Li (0.886, 0.614, 0.000)
Ca (0.000, 0.000, 0.000)
Ca (0.500, 0.500, 0.000)
P (0.181, 0.681, 0.500)
P (0.319, 0.181, 0.500)
P (0.681, 0.819, 0.500)
P (0.819, 0.319, 0.500)

=====

# 2
BaLa2Rh | PBE-GGA | relaxed

Its energy relative to the elements is -0.2842 eV/atom. The value obtained for the calculated volume is 144.4 Å³/f.u. Its offset from the most stable computed form is 131 meV/atom. As for the raw total energy: -5.067 eV per atom. For the density of states at the Fermi level, the calculation gives 3.8 states/eV/cell.

Unit cell a=3.859 b=3.833 c=9.834 alpha=90.00 beta=97.05 gamma=90.00
Fractional coordinates of all 4 atoms:
Ba (0.000, 0.000, 0.000)
La (0.407, 0.500, 0.660)
La (0.593, 0.500, 0.340)
Rh (0.000, 0.000, 0.500)

=====

# 3
Mg2InGaPd | PBE-GGA | relaxed

Its energy relative to the elements is -0.1819 eV/atom. The value obtained for the calculated volume is 122.2 Å³/f.u. Its offset from the most stable computed form is 105 meV/atom. As for the raw total energy: -3.011 eV per atom. For the density of states at the Fermi level, the calculation gives 2.0 states/eV/cell.

Unit cell a=5.060 b=5.060 c=4.771 alpha=90.00 beta=90.00 gamma=90.00
Fractional coordinates of all 5 atoms:
Mg (0.000, 0.500, 0.000)
Mg (0.500, 0.000, 0.000)
In (0.000, 0.000, 0.500)
Ga (0.500, 0.500, 0.500)
Pd (0.500, 0.500, 0.000)

=====

# 4
Tb2Pd15Au2 | PBE-GGA | relaxed

Its energy relative to the elements is -0.3180 eV/atom. The value obtained for the calculated volume is 331.2 Å³/f.u. As for the raw total energy: -5.250 eV per atom. For the density of states at the Fermi level, the calculation gives 22.0 states/eV/cell.

Unit cell a=6.980 b=6.980 c=6.980 alpha=82.10 beta=82.10 gamma=82.10
Fractional coordinates of all 19 atoms:
Tb (0.161, 0.161, 0.161)
Tb (0.839, 0.839, 0.839)
Pd (0.000, 0.500, 0.500)
Pd (0.153, 0.153, 0.663)
Pd (0.153, 0.663, 0.153)
Pd (0.188, 0.500, 0.812)
Pd (0.188, 0.812, 0.500)
Pd (0.337, 0.847, 0.847)
Pd (0.500, 0.000, 0.500)
Pd (0.500, 0.188, 0.812)
Pd (0.500, 0.500, 0.000)
Pd (0.500, 0.812, 0.188)
Pd (0.663, 0.153, 0.153)
Pd (0.812, 0.188, 0.500)
Pd (0.812, 0.500, 0.188)
Pd (0.847, 0.337, 0.847)
Pd (0.847, 0.847, 0.337)
Au (0.398, 0.398, 0.398)
Au (0.602, 0.602, 0.602)